Entry 1:
19
Lattice="-3.039 -2.030 -7.156 -1.843 -5.813 -5.232 -13.556 1.481 11.342" Properties=species:S:1:pos:R:3 comment="Rb2Gd4Cu4Te9 | the Open Quantum Materials Database | PBE-GGA | optimized geometry" spacegroup=C2/m pbc="T T T"
Gd -8.308 -0.389 4.401
Te -2.272 -0.605 0.223
Te -16.166 -5.757 -1.268
Te -10.576 -0.090 6.400
Te -12.107 -5.386 -3.061
Te -15.572 -3.596 2.612
Te -9.219 -3.181 -0.523
Te -2.866 -2.766 -3.657
Cu -13.654 0.820 10.103
Te -6.330 -0.977 2.016
Cu -13.573 -4.743 -0.887
Gd -10.129 -5.973 -5.446
Rb -6.311 -3.781 -3.511
Cu -4.864 -1.619 -0.159
Te -7.861 -6.273 -7.445
Rb -12.126 -2.581 2.466
Gd -4.911 -5.562 -7.883
Gd -13.527 -0.800 6.838
Cu -4.783 -7.182 -11.148

---

Entry 2:
12
Lattice="1.955 -6.645 0.000 1.955 6.645 0.000 0.000 0.000 10.453" Properties=species:S:1:pos:R:3 comment="GdCuSnSeS2 | the Open Quantum Materials Database | PBE-GGA | optimized geometry" spacegroup=Cmcm pbc="T T T"
Se 1.955 -1.198 7.840
S 1.955 -4.838 5.996
Cu 1.955 6.249 2.613
Se 1.955 1.198 2.613
Gd 1.955 0.000 0.000
Sn 1.955 -3.023 2.613
S 1.955 4.838 4.457
Gd 1.955 0.000 5.227
Sn 1.955 3.023 7.840
Cu 1.955 -6.249 7.840
S 1.955 -4.838 9.684
S 1.955 4.838 0.769

---

Entry 3:
24
Lattice="10.367 0.000 0.000 0.000 4.013 0.000 0.000 0.000 13.226" Properties=species:S:1:pos:R:3 comment="SrGdCuSeS2 | the Open Quantum Materials Database | PBE-GGA | optimized geometry" spacegroup=Pnma pbc="T T T"
Cu 7.642 3.009 10.257
Sr 8.027 3.009 6.681
Sr 2.843 3.009 13.157
Se 6.033 1.003 5.246
S 9.774 1.003 5.080
S 2.687 3.009 4.305
Gd 5.299 3.009 3.334
S 5.776 3.009 11.693
Gd 5.068 1.003 9.892
S 4.591 1.003 1.533
Sr 7.524 1.003 0.068
Gd 10.251 1.003 9.947
S 0.592 3.009 8.146
S 2.497 1.003 10.918
S 7.680 1.003 8.921
Sr 2.340 1.003 6.544
Cu 2.725 1.003 2.969
Cu 7.909 1.003 3.644
Gd 0.115 3.009 3.279
Cu 2.458 3.009 9.582
Se 4.334 3.009 7.980
Se 9.517 3.009 11.859
S 7.870 3.009 2.308
Se 0.850 1.003 1.367

---

Entry 4:
12
Lattice="4.470 4.700 -2.557 -4.777 -4.879 -1.409 -7.594 7.361 0.257" Properties=species:S:1:pos:R:3 comment="SrGdCuSeS2 | the Open Quantum Materials Database | PBE-GGA | optimized geometry" spacegroup=Cmcm pbc="T T T"
Cu -1.808 2.003 -1.949
Gd -3.797 3.681 0.128
S -5.733 2.884 -1.685
Cu -6.093 5.179 -1.761
S -2.169 4.298 -2.025
Sr -3.408 7.961 -2.094
S -8.394 5.464 -1.595
S 0.493 1.719 -2.115
Gd 0.000 0.000 0.000
Se -9.669 1.475 -1.317
Se 1.767 5.708 -2.393
Sr -4.493 -0.778 -1.616

---

Entry 5:
12
Lattice="2.032 -6.727 0.000 2.032 6.727 0.000 0.000 0.000 10.405" Properties=species:S:1:pos:R:3 comment="SrGdCuSe2S | the Open Quantum Materials Database | PBE-GGA | optimized geometry" spacegroup=Cmcm pbc="T T T"
S 2.032 -0.960 7.804
S 2.032 0.960 2.601
Cu 2.032 6.369 2.601
Se 2.032 4.798 4.510
Sr 2.032 -3.522 2.601
Gd 2.032 0.000 0.000
Cu 2.032 -6.369 7.804
Gd 2.032 0.000 5.203
Sr 2.032 3.522 7.804
Se 2.032 -4.798 9.712
Se 2.032 -4.798 5.896
Se 2.032 4.798 0.693

---

Entry 6:
24
Lattice="-8.112 2.195 6.203 -2.361 -2.450 -2.222 3.270 -10.354 7.940" Properties=species:S:1:pos:R:3 comment="SrGdCuSe2S | the Open Quantum Materials Database | PBE-GGA | optimized geometry" spacegroup=Pnma pbc="T T T"
Se 1.861 -9.692 6.850
Cu -4.224 -6.511 9.811
S -2.107 -1.879 2.453
Sr -1.069 -5.317 5.140
Sr -3.559 -9.179 12.044
Se -3.103 -5.720 7.747
Gd 0.155 -3.231 1.540
Se -1.137 -5.756 1.980
Sr -6.135 -5.291 6.781
Se -9.065 -0.917 5.071
Cu -0.016 -8.090 7.079
Cu -2.979 -4.098 2.110
Se -6.067 -4.853 9.941
S -5.686 -2.292 6.713
S -5.097 -8.730 9.468
Gd -7.359 -7.377 10.381
Gd -3.936 -2.024 4.557
Se -1.058 -8.967 9.154
Cu -7.188 -2.519 4.843
S -1.518 -8.317 5.208
Sr -3.645 -1.430 -0.123
Se -4.101 -4.889 4.174
Se -6.146 -1.641 2.768
Gd -3.268 -8.584 7.364

---

Entry 7:
24
Lattice="-8.237 -4.742 -2.997 8.920 -4.291 -1.157 -0.488 -2.400 5.140" Properties=species:S:1:pos:R:3 comment="Gd3CuSiS7 | the Open Quantum Materials Database | PBE-GGA | optimized geometry" spacegroup=P6_3 pbc="T T T"
S -0.571 -4.868 -2.244
S -3.337 -2.969 -1.620
S -3.666 -6.034 -3.083
S 3.185 -4.521 -1.601
Cu -0.137 -0.674 1.443
Gd -1.234 -4.487 2.524
S 4.092 -4.263 1.635
Gd -5.584 -5.979 1.414
S 0.934 -8.949 0.760
Cu -0.381 -1.874 4.013
Gd 5.777 -5.459 -0.418
Gd 2.031 -2.722 0.505
S -0.995 -8.153 -2.205
S 3.762 -7.328 0.172
Si 2.878 -6.032 1.635
S -2.778 -5.871 0.356
S 1.171 -3.372 3.387
Si -2.597 -4.982 -1.548
S -0.758 -2.576 0.422
S -6.196 -4.984 -1.219
S 6.371 -6.541 2.401
Gd 1.427 -6.951 -1.528
Gd -1.837 -8.716 0.491
S 0.997 -5.429 0.796

---

Entry 8:
12
Lattice="1.900 -6.354 0.000 1.900 6.354 0.000 0.000 0.000 10.288" Properties=species:S:1:pos:R:3 comment="SmGdCuS3 | the Open Quantum Materials Database | PBE-GGA | optimized geometry" spacegroup=Cmcm pbc="T T T"
S 1.900 -4.516 5.963
S 1.900 1.130 2.572
S 1.900 -1.130 7.716
Gd 1.900 0.000 0.000
S 1.900 4.516 4.325
S 1.900 4.516 0.819
Sm 1.900 -3.004 2.572
Cu 1.900 -6.053 7.716
Gd 1.900 0.000 5.144
Cu 1.900 6.053 2.572
S 1.900 -4.516 9.469
Sm 1.900 3.004 7.716

---

Entry 9:
12
Lattice="2.086 -7.159 0.000 2.086 7.159 0.000 0.000 0.000 10.369" Properties=species:S:1:pos:R:3 comment="GdCuSnTe2S | the Open Quantum Materials Database | PBE-GGA | optimized geometry" spacegroup=Cmcm pbc="T T T"
Cu 2.086 0.256 2.592
Sn 2.086 3.251 7.777
Te 2.086 2.155 4.478
Gd 0.000 0.000 5.184
Te 2.086 2.155 0.706
S 2.086 6.172 2.592
S 2.086 -6.172 7.777
Gd 0.000 0.000 0.000
Te 2.086 -2.155 9.662
Sn 2.086 -3.251 2.592
Cu 2.086 -0.256 7.777
Te 2.086 -2.155 5.891

---

Entry 10:
12
Lattice="-3.987 4.284 3.990 0.516 -3.804 -5.952 -4.186 -8.788 5.253" Properties=species:S:1:pos:R:3 comment="GdCuSnTeS2 | the Open Quantum Materials Database | PBE-GGA | optimized geometry" spacegroup=Cmcm pbc="T T T"
S -1.498 -1.470 -1.819
Sn -4.107 0.423 3.258
Gd -2.093 -4.394 2.627
Te -6.656 -3.153 6.890
Gd 0.000 0.000 0.000
Cu -4.989 -6.146 3.211
S -2.932 -4.480 -0.020
Sn -3.550 -8.732 0.033
S -4.725 -3.828 3.310
Cu -2.668 -2.162 0.080
Te -1.001 -5.155 -3.600
S -6.159 -6.839 5.110

---

Entry 11:
24
Lattice="10.358 0.000 0.000 0.000 3.955 0.000 0.000 0.000 13.003" Properties=species:S:1:pos:R:3 comment="SrGdCuS3 | the Open Quantum Materials Database | PBE-GGA | optimized geometry" spacegroup=Pnma pbc="T T T"
S 2.690 0.989 8.759
Gd 10.211 2.966 3.122
Cu 7.904 2.966 9.394
Sr 2.320 2.966 6.523
S 7.668 2.966 4.244
Gd 5.032 2.966 3.379
S 5.724 0.989 1.531
Sr 7.499 2.966 12.982
S 4.633 2.966 11.472
Sr 2.859 0.989 0.021
S 9.812 2.966 8.033
S 2.489 2.966 2.258
S 0.545 0.989 4.970
S 0.946 2.966 11.615
S 6.125 2.966 7.889
S 7.869 0.989 10.746
Cu 7.633 0.989 2.893
Sr 8.038 0.989 6.480
Gd 5.326 0.989 9.624
Gd 0.147 0.989 9.881
Cu 2.725 2.966 10.110
Cu 2.454 0.989 3.609
S 9.412 0.989 1.388
S 4.233 0.989 5.114

---

Entry 12:
12
Lattice="-2.172 -8.573 1.703 1.722 -8.782 1.015 1.450 2.945 7.311" Properties=species:S:1:pos:R:3 comment="SrGdCuS3 | the Open Quantum Materials Database | PBE-GGA | optimized geometry" spacegroup=C2/m pbc="T T T"
Cu 0.792 -7.175 6.656
S 0.791 -3.734 5.606
Cu 0.209 -7.235 3.373
S 0.725 1.473 3.655
Sr 0.046 -2.001 0.865
S 0.210 -10.676 4.422
S -0.225 -8.678 1.359
Sr 0.955 -12.409 9.163
S 0.110 -5.197 2.195
Gd 0.774 -1.093 4.709
S 0.891 -9.213 7.833
Gd 0.227 -13.317 5.319

---

Number 1: electronic total energy -0.1591 hartree per atom, spin magnetization 0.000 μB/atom. Number 2: electronic total energy -0.1846 hartree per atom, spin magnetization 0.001 μB/atom. Number 3: electronic total energy -0.1941 hartree per atom, spin magnetization 0.000 μB/atom. Number 4: electronic total energy -0.1936 hartree per atom, spin magnetization 0.001 μB/atom. Number 5: electronic total energy -0.1887 hartree per atom, spin magnetization 0.001 μB/atom. Number 6: electronic total energy -0.1886 hartree per atom, spin magnetization 0.000 μB/atom. Number 7: electronic total energy -0.2159 hartree per atom, spin magnetization 0.000 μB/atom. Number 8: electronic total energy -0.2136 hartree per atom, spin magnetization 0.001 μB/atom. Number 9: electronic total energy -0.1681 hartree per atom, spin magnetization 0.001 μB/atom. Number 10: electronic total energy -0.1788 hartree per atom, spin magnetization 0.000 μB/atom. Number 11: electronic total energy -0.1997 hartree per atom, spin magnetization 0.000 μB/atom. Number 12: electronic total energy -0.1961 hartree per atom, spin magnetization 0.000 μB/atom.